# 1
A plane-wave DFT calculation with PBE was carried out for crystalline Ta3NbGa2N2 at its relaxed geometry.

Calculated values
Symmetry = P3m1, No. 156
E = -9.1797 eV/atom
Mass density = 12.00 g cm⁻³
Total moment = 0.0 Bohr magnetons per cell

Cell and atoms, written as POSCAR:
```
Ta3NbGa2N2
1.0
-1.372 -1.897 1.862
2.958 0.403 0.188
-2.048 10.671 9.365
Ta Nb N Ga
3 1 2 2
direct
0.000 0.000 0.406
0.667 0.333 0.597
0.667 0.333 0.903
0.000 0.000 0.095
0.333 0.667 0.997
0.333 0.667 0.501
0.000 0.000 0.750
0.667 0.333 0.251
```

***

# 2
A plane-wave DFT calculation with PBE was carried out for crystalline LiAgOsSeS2 at its relaxed geometry.

Calculated values
Symmetry = Cmcm, No. 63
E = -4.7873 eV/atom
Mass density = 6.65 g cm⁻³
Total moment = 0.0 Bohr magnetons per cell

Cell and atoms, written as POSCAR:
```
LiAgOsSeS2
1.0
1.575 -7.219 0.000
1.575 7.219 0.000
0.000 0.000 9.840
Li Se Ag S Os
2 2 2 4 2
direct
0.814 0.186 0.250
0.186 0.814 0.750
0.546 0.454 0.750
0.454 0.546 0.250
0.848 0.152 0.750
0.152 0.848 0.250
0.875 0.125 0.511
0.875 0.125 0.989
0.125 0.875 0.489
0.125 0.875 0.011
0.500 0.500 0.500
0.500 0.500 0.000
```

***

# 3
A plane-wave DFT calculation with PBE was carried out for crystalline Sr3HgO2 at its relaxed geometry.

Calculated values
Symmetry = P-3m1, No. 164
E = -4.3857 eV/atom
Mass density = 6.19 g cm⁻³

Cell and atoms, written as POSCAR:
```
Sr3HgO2
1.0
3.739 0.000 0.000
-1.870 3.238 0.000
0.000 0.000 10.981
Sr O Hg
3 2 1
direct
0.667 0.333 0.731
0.000 0.000 0.000
0.333 0.667 0.269
0.667 0.333 0.134
0.333 0.667 0.866
0.000 0.000 0.500
```

***

# 4
A plane-wave DFT calculation with PBE was carried out for crystalline LiTmMgSe3 at its relaxed geometry.

Calculated values
Symmetry = Cmcm, No. 63
E = -4.4563 eV/atom
Mass density = 4.94 g cm⁻³
Total moment = 0.0 Bohr magnetons per cell

Cell and atoms, written as POSCAR:
```
LiTmMgSe3
1.0
-2.661 2.185 -5.916
-0.085 0.633 6.815
7.854 7.855 -0.632
Mg Li Tm Se
2 2 2 6
direct
0.525 0.475 0.750
0.475 0.525 0.250
0.749 0.251 0.250
0.251 0.749 0.750
0.000 0.000 0.000
0.000 0.000 0.500
0.639 0.361 0.569
0.096 0.904 0.250
0.361 0.639 0.069
0.361 0.639 0.431
0.904 0.096 0.750
0.639 0.361 0.931
```

***

# 5
A plane-wave DFT calculation with PBE was carried out for crystalline YMgCuBi at its relaxed geometry.

Calculated values
Symmetry = F-43m, No. 216
Polymorph energy (0 for the lowest one) = 0.0000 eV/atom
E = -3.9759 eV/atom
Mass density = 6.53 g cm⁻³
Total moment = 0.0 Bohr magnetons per cell

Cell and atoms, written as POSCAR:
```
YMgCuBi
1.0
0.000 3.660 3.660
3.660 0.000 3.660
3.660 3.660 0.000
Mg Bi Y Cu
1 1 1 1
direct
0.250 0.250 0.250
0.000 0.000 0.000
0.500 0.500 0.500
0.750 0.750 0.750
```

***

# 6
A plane-wave DFT calculation with PBE was carried out for crystalline LuZrAg at its relaxed geometry.

Calculated values
Symmetry = F-43m, No. 216
Polymorph energy (0 for the lowest one) = 0.0000 eV/atom
E = -5.0045 eV/atom
Mass density = 8.03 g cm⁻³
Total moment = 1.1 Bohr magnetons per cell

Cell and atoms, written as POSCAR:
```
LuZrAg
1.0
-1.238 -4.499 1.047
-4.598 -1.113 0.702
-2.338 -2.648 -3.224
Lu Zr Ag
1 1 1
direct
0.250 0.250 0.250
0.750 0.750 0.750
0.000 0.000 0.000
```

***

# 7
A plane-wave DFT calculation with PBE was carried out for crystalline Re7W8 at its relaxed geometry.

Calculated values
Symmetry = P4_2/mnm, No. 136
Polymorph energy (0 for the lowest one) = 0.1033 eV/atom
E = -12.5532 eV/atom
Mass density = 19.46 g cm⁻³
Total moment = 0.0 Bohr magnetons per cell

Cell and atoms, written as POSCAR:
```
Re7W8
1.0
9.651 0.000 0.000
0.000 9.651 0.000
0.000 0.000 5.082
Re W
14 16
direct
0.816 0.816 0.252
0.684 0.316 0.248
0.316 0.684 0.752
0.316 0.684 0.248
0.816 0.816 0.748
0.000 0.000 0.000
0.184 0.184 0.252
0.684 0.316 0.752
0.097 0.903 0.500
0.184 0.184 0.748
0.903 0.097 0.500
0.403 0.403 0.000
0.597 0.597 0.000
0.500 0.500 0.500
0.435 0.241 0.500
0.038 0.635 0.500
0.241 0.435 0.500
0.135 0.462 0.000
0.365 0.962 0.500
0.741 0.065 0.000
0.635 0.038 0.500
0.538 0.865 0.000
0.935 0.259 0.000
0.065 0.741 0.000
0.962 0.365 0.500
0.259 0.935 0.000
0.865 0.538 0.000
0.759 0.565 0.500
0.565 0.759 0.500
0.462 0.135 0.000
```

***

# 8
A plane-wave DFT calculation with PBE was carried out for crystalline Sm3In3IrPd2 at its relaxed geometry.

Calculated values
Symmetry = P-62m, No. 189
E = -5.3648 eV/atom
Mass density = 9.71 g cm⁻³
Total moment = 0.0 Bohr magnetons per cell

Cell and atoms, written as POSCAR:
```
Sm3In3IrPd2
1.0
7.632 0.000 0.000
-3.816 6.609 0.000
0.000 0.000 4.069
Sm In Pd Ir
3 3 2 1
direct
0.598 0.598 0.500
0.402 0.000 0.500
0.000 0.402 0.500
0.000 0.747 0.000
0.747 0.000 0.000
0.253 0.253 0.000
0.667 0.333 0.000
0.333 0.667 0.000
0.000 0.000 0.500
```

***

# 9
A plane-wave DFT calculation with PBE was carried out for crystalline MgZnCuSb at its relaxed geometry.

Calculated values
Symmetry = F-43m, No. 216
Polymorph energy (0 for the lowest one) = 0.0000 eV/atom
E = -2.5755 eV/atom
Mass density = 6.08 g cm⁻³

Cell and atoms, written as POSCAR:
```
MgZnCuSb
1.0
2.890 -1.938 3.213
1.624 2.610 3.604
-1.554 -0.811 4.400
Cu Sb Mg Zn
1 1 1 1
direct
0.250 0.250 0.250
0.000 0.000 0.000
0.500 0.500 0.500
0.750 0.750 0.750
```

***

# 10
A plane-wave DFT calculation with PBE was carried out for crystalline ThCuMo at its relaxed geometry.

Calculated values
Symmetry = F-43m, No. 216
Polymorph energy (0 for the lowest one) = 0.0000 eV/atom
E = -6.7136 eV/atom
Mass density = 9.96 g cm⁻³
Total moment = 1.0 Bohr magnetons per cell

Cell and atoms, written as POSCAR:
```
ThCuMo
1.0
0.000 3.196 3.196
3.196 0.000 3.196
3.196 3.196 0.000
Cu Mo Th
1 1 1
direct
0.000 0.000 0.000
0.250 0.250 0.250
0.750 0.750 0.750
```

***

# 11
A plane-wave DFT calculation with PBE was carried out for crystalline CdSiPO at its relaxed geometry.

Calculated values
Symmetry = P4/nmm, No. 129
Polymorph energy (0 for the lowest one) = 0.8020 eV/atom
E = -4.2880 eV/atom
Mass density = 4.79 g cm⁻³

Cell and atoms, written as POSCAR:
```
CdSiPO
1.0
-3.633 -1.015 0.177
0.989 -3.618 -0.436
0.693 -0.901 9.051
P Cd Si O
2 2 2 2
direct
0.000 0.500 0.703
0.500 0.000 0.297
0.000 0.000 0.500
0.500 0.500 0.500
0.500 0.000 0.903
0.000 0.500 0.097
0.000 0.000 0.000
0.500 0.500 0.000
```

***

# 12
A plane-wave DFT calculation with PBE was carried out for crystalline Pr2LuAl7Ag2 at its relaxed geometry.

Calculated values
Symmetry = R-3m, No. 166
E = -4.2295 eV/atom
Mass density = 5.87 g cm⁻³
Total moment = 0.0 Bohr magnetons per cell

Cell and atoms, written as POSCAR:
```
Pr2LuAl7Ag2
1.0
-0.687 -8.066 4.884
-0.533 -3.856 8.616
-5.332 -5.069 5.939
Al Pr Ag Lu
7 2 2 1
direct
0.074 0.585 0.585
0.500 0.500 0.500
0.585 0.074 0.585
0.585 0.585 0.074
0.926 0.415 0.415
0.415 0.415 0.926
0.415 0.926 0.415
0.858 0.858 0.858
0.142 0.142 0.142
0.336 0.336 0.336
0.664 0.664 0.664
0.000 0.000 0.000
```